# 1
Entry from Alexandria via LeMat-Bulk: a relaxed structure of BeGaSe (PBE-GGA).

Cell and atoms, written as CIF:
```
data_BeGaSe
_space_group_name_H-M_alt 'C 1 m 1'
_space_group_IT_number 8
_space_group_name_Hall 'C -2y'
_cell_length_a 11.3459
_cell_length_b 3.5621
_cell_length_c 6.3467
_cell_angle_alpha 90.00
_cell_angle_beta 103.04
_cell_angle_gamma 90.00
loop_
_atom_site_label
_atom_site_fract_x
_atom_site_fract_y
_atom_site_fract_z
_atom_site_occupancy
Be1 0.0000 0.0000 0.0000 1
Be2 0.0155 0.5000 0.5040 1
Ga1 0.2104 0.0000 0.1569 1
Ga2 0.2200 0.5000 0.4861 1
Se1 0.4374 0.0000 0.1468 1
Se2 0.4502 0.5000 0.6456 1
```

Properties
ρ = 4.192 g/cm³
Uncorrected formation energy = -66 kJ/mol of formula units
E above lowest polymorph = 82.0 meV/atom


# 2
Entry from Alexandria via LeMat-Bulk: a relaxed structure of Be3GaSe (PBE-GGA).

Cell and atoms, written as CIF:
```
data_Be3GaSe
_space_group_name_H-M_alt 'P m -3 m'
_space_group_IT_number 221
_space_group_name_Hall '-P 4 2 3'
_cell_length_a 4.3137
_cell_length_b 4.3137
_cell_length_c 4.3137
_cell_angle_alpha 90.00
_cell_angle_beta 90.00
_cell_angle_gamma 90.00
loop_
_atom_site_label
_atom_site_fract_x
_atom_site_fract_y
_atom_site_fract_z
_atom_site_occupancy
Be1 0.0000 0.0000 0.5000 1
Ga1 0.0000 0.0000 0.0000 1
Se1 0.5000 0.5000 0.5000 1
```

Properties
ρ = 3.635 g/cm³
Uncorrected formation energy = 375 kJ/mol of formula units
E above lowest polymorph = 0.0 meV/atom


# 3
Entry from Alexandria via LeMat-Bulk: a relaxed structure of BeGaSe (PBE-GGA).

Cell and atoms, written as CIF:
```
data_BeGaSe
_space_group_name_H-M_alt 'C 1 m 1'
_space_group_IT_number 8
_space_group_name_Hall 'C -2y'
_cell_length_a 6.0811
_cell_length_b 3.5419
_cell_length_c 5.8032
_cell_angle_alpha 90.00
_cell_angle_beta 111.04
_cell_angle_gamma 90.00
loop_
_atom_site_label
_atom_site_fract_x
_atom_site_fract_y
_atom_site_fract_z
_atom_site_occupancy
Be1 0.0000 0.0000 0.0000 1
Ga1 0.0608 0.5000 0.6574 1
Se1 0.3881 0.0000 0.1579 1
```

Properties
ρ = 4.489 g/cm³
Uncorrected formation energy = -60 kJ/mol of formula units
E above lowest polymorph = 103.8 meV/atom


# 4
Entry from Alexandria via LeMat-Bulk: a relaxed structure of Be2GaSe4 (PBE-GGA).

Cell and atoms, written as CIF:
```
data_Be2GaSe4
_space_group_name_H-M_alt 'P -4 2 m'
_space_group_IT_number 111
_space_group_name_Hall 'P -4 2'
_cell_length_a 5.1629
_cell_length_b 5.1629
_cell_length_c 5.4909
_cell_angle_alpha 90.00
_cell_angle_beta 90.00
_cell_angle_gamma 90.00
loop_
_atom_site_label
_atom_site_fract_x
_atom_site_fract_y
_atom_site_fract_z
_atom_site_occupancy
Be1 0.0000 0.5000 0.0000 1
Ga1 0.0000 0.0000 0.5000 1
Se1 0.2688 0.2688 0.7641 1
```

Properties
ρ = 4.579 g/cm³
Uncorrected formation energy = -367 kJ/mol of formula units